LaYCl2 | PBE-GGA | optimized geometry

Properties
E_form (uncorrected): -4.2 eV/f.u.
space group: C2/m (12)
crystal system: monoclinic
final energy: -19.28 eV/f.u.

Unit cell a=7.1407 b=7.1526 c=5.0464 alpha=90.00 beta=134.88 gamma=90.00
Atoms (fractional coordinates):
La 0.0000 0.0000 0.0000
La 0.5000 0.5000 0.0000
Y 0.0000 0.5000 0.0000
Y 0.5000 0.0000 0.0000
Cl 0.0000 0.2501 0.5000
Cl 0.0000 0.7499 0.5000
Cl 0.5000 0.2499 0.5000
Cl 0.5000 0.7501 0.5000

---

LaY2Cl2 | PBE-GGA | optimized geometry

Properties
E_form (uncorrected): -4.0 eV/f.u.
space group: P4/mbm (127)
crystal system: tetragonal
final energy: -25.60 eV/f.u.

Unit cell a=8.3297 b=8.3297 c=3.5707 alpha=90.00 beta=90.00 gamma=90.00
Atoms (fractional coordinates):
La 0.0000 0.0000 0.0000
La 0.5000 0.5000 0.0000
Y 0.1750 0.3250 0.5000
Y 0.3250 0.8250 0.5000
Y 0.6750 0.1750 0.5000
Y 0.8250 0.6750 0.5000
Cl 0.1323 0.6323 0.0000
Cl 0.3677 0.1323 0.0000
Cl 0.6323 0.8677 0.0000
Cl 0.8677 0.3677 0.0000

---

LaYCl2 | PBE-GGA | optimized geometry

Properties
E_form (uncorrected): -5.6 eV/f.u.
space group: R-3m (166)
crystal system: trigonal
final energy: -20.67 eV/f.u.

Unit cell a=3.6878 b=3.6878 c=28.7858 alpha=90.00 beta=90.00 gamma=120.00
Atoms (fractional coordinates):
La 0.0000 0.0000 0.0000
La 0.3333 0.6667 0.6667
La 0.6667 0.3333 0.3333
Y 0.0000 0.0000 0.5000
Y 0.3333 0.6667 0.1667
Y 0.6667 0.3333 0.8333
Cl 0.0000 0.0000 0.4064
Cl 0.0000 0.0000 0.5936
Cl 0.3333 0.6667 0.0730
Cl 0.3333 0.6667 0.2603
Cl 0.6667 0.3333 0.7397
Cl 0.6667 0.3333 0.9270

---

LaY4Cl | PBE-GGA | optimized geometry

Properties
E_form (uncorrected): 1.6 eV/f.u.
space group: F-43m (216)
crystal system: cubic
final energy: -31.01 eV/f.u.

Unit cell a=6.7268 b=6.7268 c=6.7268 alpha=60.00 beta=60.00 gamma=60.00
Atoms (fractional coordinates):
La 0.0000 0.0000 0.0000
Y 0.1188 0.6271 0.6271
Y 0.6271 0.1188 0.6271
Y 0.6271 0.6271 0.1188
Y 0.6271 0.6271 0.6271
Cl 0.2500 0.2500 0.2500

---

LaYCl2 | PBE-GGA | optimized geometry

Properties
E_form (uncorrected): -5.4 eV/f.u.
space group: Cmm2 (35)
crystal system: orthorhombic
final energy: -20.46 eV/f.u.

Unit cell a=4.1079 b=6.2131 c=10.2135 alpha=90.00 beta=90.00 gamma=90.00
Atoms (fractional coordinates):
La 0.0000 0.0000 0.0000
La 0.5000 0.5000 0.0000
Y 0.0000 0.5000 0.2790
Y 0.5000 0.0000 0.2790
Cl 0.0000 0.0000 0.4514
Cl 0.0000 0.5000 0.8096
Cl 0.5000 0.0000 0.8096
Cl 0.5000 0.5000 0.4514

---

LaYCl6 | PBE-GGA | optimized geometry

Properties
E_form (uncorrected): -18.0 eV/f.u.
space group: C2/m (12)
crystal system: monoclinic
final energy: -40.51 eV/f.u.

Unit cell a=7.0554 b=12.2018 c=7.4235 alpha=90.00 beta=90.82 gamma=90.00
Atoms (fractional coordinates):
La 0.0000 0.0000 0.0000
La 0.5000 0.5000 0.0000
Y 0.0000 0.0000 0.5000
Y 0.5000 0.5000 0.5000
Cl 0.1434 0.1437 0.7372
Cl 0.1434 0.8563 0.7372
Cl 0.2130 0.5000 0.7314
Cl 0.2870 0.0000 0.2686
Cl 0.3566 0.3563 0.2628
Cl 0.3566 0.6437 0.2628
Cl 0.6434 0.3563 0.7372
Cl 0.6434 0.6437 0.7372
Cl 0.7130 0.0000 0.7314
Cl 0.7870 0.5000 0.2686
Cl 0.8566 0.1437 0.2628
Cl 0.8566 0.8563 0.2628

---

LaYCl2 | PBE-GGA | optimized geometry

Properties
E_form (uncorrected): -5.2 eV/f.u.
space group: P2/m (10)
crystal system: monoclinic
final energy: -20.26 eV/f.u.

Unit cell a=3.7165 b=4.6976 c=6.1876 alpha=90.00 beta=93.49 gamma=90.00
Atoms (fractional coordinates):
La 0.0000 0.0000 0.0000
Y 0.5000 0.0000 0.5000
Cl 0.3165 0.5000 0.2515
Cl 0.6835 0.5000 0.7485

---

LaYCl2 | PBE-GGA | optimized geometry

Properties
E_form (uncorrected): -5.1 eV/f.u.
space group: Pmm2 (25)
crystal system: orthorhombic
final energy: -20.23 eV/f.u.

Unit cell a=3.5539 b=5.7080 c=4.8094 alpha=90.00 beta=90.00 gamma=90.00
Atoms (fractional coordinates):
La 0.0000 0.0000 0.0000
Y 0.5000 0.5000 0.6464
Cl 0.0000 0.5000 0.1514
Cl 0.5000 0.0000 0.5021

---

LaY3Cl | PBE-GGA | optimized geometry

Properties
E_form (uncorrected): -2.3 eV/f.u.
space group: Pm-3m (221)
crystal system: cubic
final energy: -28.49 eV/f.u.

Unit cell a=5.3625 b=5.3625 c=5.3625 alpha=90.00 beta=90.00 gamma=90.00
Atoms (fractional coordinates):
La 0.0000 0.0000 0.0000
Y 0.0000 0.5000 0.5000
Y 0.5000 0.0000 0.5000
Y 0.5000 0.5000 0.0000
Cl 0.5000 0.5000 0.5000

---

LaYCl6 | PBE-GGA | optimized geometry

Properties
E_form (uncorrected): -18.4 eV/f.u.
space group: R-3 (148)
crystal system: trigonal
final energy: -40.86 eV/f.u.

Unit cell a=7.4639 b=7.4639 c=7.4639 alpha=54.88 beta=54.88 gamma=54.88
Atoms (fractional coordinates):
La 0.0000 0.0000 0.0000
Y 0.5000 0.5000 0.5000
Cl 0.1098 0.7416 0.4057
Cl 0.2584 0.5943 0.8902
Cl 0.4057 0.1098 0.7416
Cl 0.5943 0.8902 0.2584
Cl 0.7416 0.4057 0.1098
Cl 0.8902 0.2584 0.5943

---

LaYCl2 | PBE-GGA | optimized geometry

Properties
E_form (uncorrected): -5.2 eV/f.u.
space group: Cmmm (65)
crystal system: orthorhombic
final energy: -20.25 eV/f.u.

Unit cell a=3.4741 b=6.5527 c=9.4474 alpha=90.00 beta=90.00 gamma=90.00
Atoms (fractional coordinates):
La 0.0000 0.0000 0.0000
La 0.5000 0.5000 0.0000
Y 0.0000 0.0000 0.5000
Y 0.5000 0.5000 0.5000
Cl 0.0000 0.5000 0.2601
Cl 0.0000 0.5000 0.7399
Cl 0.5000 0.0000 0.2601
Cl 0.5000 0.0000 0.7399

---

LaYCl2 | PBE-GGA | optimized geometry

Properties
E_form (uncorrected): -5.1 eV/f.u.
space group: Immm (71)
crystal system: orthorhombic
final energy: -20.23 eV/f.u.

Unit cell a=3.5020 b=6.5983 c=9.4286 alpha=90.00 beta=90.00 gamma=90.00
Atoms (fractional coordinates):
La 0.0000 0.0000 0.0000
La 0.5000 0.5000 0.5000
Y 0.0000 0.0000 0.5000
Y 0.5000 0.5000 0.0000
Cl 0.0000 0.5000 0.2395
Cl 0.0000 0.5000 0.7605
Cl 0.5000 0.0000 0.2605
Cl 0.5000 0.0000 0.7395

---

LaYCl2 | PBE-GGA | optimized geometry

Properties
E_form (uncorrected): -4.2 eV/f.u.
space group: P4/mmm (123)
crystal system: tetragonal
final energy: -19.31 eV/f.u.

Unit cell a=5.0405 b=5.0405 c=3.6055 alpha=90.00 beta=90.00 gamma=90.00
Atoms (fractional coordinates):
La 0.0000 0.0000 0.0000
Y 0.5000 0.5000 0.0000
Cl 0.0000 0.5000 0.5000
Cl 0.5000 0.0000 0.5000

---

LaYCl2 | PBE-GGA | optimized geometry

Properties
E_form (uncorrected): -5.7 eV/f.u.
space group: P4mm (99)
crystal system: tetragonal
final energy: -20.80 eV/f.u.

Unit cell a=3.8717 b=3.8717 c=7.1258 alpha=90.00 beta=90.00 gamma=90.00
Atoms (fractional coordinates):
La 0.0000 0.0000 0.0000
Y 0.5000 0.5000 0.3552
Cl 0.0000 0.0000 0.4511
Cl 0.5000 0.5000 0.7653

---

LaYCl2 | PBE-GGA | optimized geometry

Properties
E_form (uncorrected): -4.2 eV/f.u.
space group: I-42d (122)
crystal system: tetragonal
final energy: -19.26 eV/f.u.

Unit cell a=6.3658 b=6.3658 c=12.8277 alpha=90.00 beta=90.00 gamma=90.00
Atoms (fractional coordinates):
La 0.0000 0.0000 0.0000
La 0.0000 0.5000 0.2500
La 0.5000 0.0000 0.7500
La 0.5000 0.5000 0.5000
Y 0.0000 0.0000 0.5000
Y 0.0000 0.5000 0.7500
Y 0.5000 0.0000 0.2500
Y 0.5000 0.5000 0.0000
Cl 0.2271 0.2500 0.6250
Cl 0.2500 0.7271 0.8750
Cl 0.2500 0.7729 0.3750
Cl 0.2729 0.2500 0.1250
Cl 0.7271 0.7500 0.1250
Cl 0.7500 0.2271 0.3750
Cl 0.7500 0.2729 0.8750
Cl 0.7729 0.7500 0.6250

---

La3YCl | PBE-GGA | optimized geometry

Properties
E_form (uncorrected): 2.1 eV/f.u.
space group: Pm-3m (221)
crystal system: cubic
final energy: -21.00 eV/f.u.

Unit cell a=5.9982 b=5.9982 c=5.9982 alpha=90.00 beta=90.00 gamma=90.00
Atoms (fractional coordinates):
La 0.0000 0.0000 0.5000
La 0.0000 0.5000 0.0000
La 0.5000 0.0000 0.0000
Y 0.0000 0.0000 0.0000
Cl 0.5000 0.5000 0.5000

---

LaY2Cl2 | PBE-GGA | optimized geometry

Properties
E_form (uncorrected): -3.3 eV/f.u.
space group: I4/mmm (139)
crystal system: tetragonal
final energy: -24.87 eV/f.u.

Unit cell a=4.4283 b=4.4283 c=13.7396 alpha=90.00 beta=90.00 gamma=90.00
Atoms (fractional coordinates):
La 0.0000 0.0000 0.0000
La 0.5000 0.5000 0.5000
Y 0.0000 0.5000 0.2500
Y 0.0000 0.5000 0.7500
Y 0.5000 0.0000 0.2500
Y 0.5000 0.0000 0.7500
Cl 0.0000 0.0000 0.3904
Cl 0.0000 0.0000 0.6096
Cl 0.5000 0.5000 0.1096
Cl 0.5000 0.5000 0.8904

---

LaYCl2 | PBE-GGA | optimized geometry

Properties
E_form (uncorrected): -5.4 eV/f.u.
space group: C2/m (12)
crystal system: monoclinic
final energy: -20.52 eV/f.u.

Unit cell a=9.0443 b=3.5929 c=6.1886 alpha=90.00 beta=102.63 gamma=90.00
Atoms (fractional coordinates):
La 0.0000 0.0000 0.0000
La 0.5000 0.5000 0.0000
Y 0.0000 0.5000 0.5000
Y 0.5000 0.0000 0.5000
Cl 0.2483 0.5000 0.2628
Cl 0.2517 0.0000 0.7372
Cl 0.7483 0.0000 0.2628
Cl 0.7517 0.5000 0.7372

---

LaYCl4 | PBE-GGA | optimized geometry

Properties
E_form (uncorrected): -3.8 eV/f.u.
space group: F-43m (216)
crystal system: cubic
final energy: -22.58 eV/f.u.

Unit cell a=5.9765 b=5.9765 c=5.9765 alpha=60.00 beta=60.00 gamma=60.00
Atoms (fractional coordinates):
La 0.0000 0.0000 0.0000
Y 0.7500 0.7500 0.7500
Cl 0.3750 0.3750 0.3750
Cl 0.3750 0.3750 0.8750
Cl 0.3750 0.8750 0.3750
Cl 0.8750 0.3750 0.3750

---

LaZn2Cl | PBE-GGA | optimized geometry

Properties
E_form (uncorrected): -1.9 eV/f.u.
space group: I-42d (122)
crystal system: tetragonal
final energy: -11.18 eV/f.u.

Unit cell a=8.7283 b=8.7283 c=5.5371 alpha=90.00 beta=90.00 gamma=90.00
Atoms (fractional coordinates):
La 0.0000 0.0000 0.0000
La 0.0000 0.5000 0.2500
La 0.5000 0.0000 0.7500
La 0.5000 0.5000 0.5000
Zn 0.2454 0.7500 0.6250
Zn 0.2500 0.2454 0.3750
Zn 0.2500 0.2546 0.8750
Zn 0.2546 0.7500 0.1250
Zn 0.7454 0.2500 0.1250
Zn 0.7500 0.7454 0.8750
Zn 0.7500 0.7546 0.3750
Zn 0.7546 0.2500 0.6250
Cl 0.0000 0.0000 0.5000
Cl 0.0000 0.5000 0.7500
Cl 0.5000 0.0000 0.2500
Cl 0.5000 0.5000 0.0000